A plane-wave DFT calculation with GGA-PBE was carried out for crystalline Sr2Al3CdAg12 at its relaxed geometry.

extended XYZ file:
```
18
Lattice="4.411 2.547 6.644 -4.411 2.547 6.644 0.000 -5.094 6.644" Properties=species:S:1:pos:R:3 pbc="T T T"
Sr 0.000 0.000 2.120
Sr 0.000 0.000 17.814
Al -2.206 -1.273 6.644
Al -2.206 1.273 13.289
Al 0.000 2.547 6.644
Cd 0.000 0.000 9.967
Ag -2.290 -1.322 9.201
Ag 0.000 -2.340 5.981
Ag -2.026 1.170 5.981
Ag 0.000 -2.644 10.732
Ag -2.290 1.322 10.732
Ag -2.026 -1.170 13.953
Ag 2.026 1.170 5.981
Ag 2.290 -1.322 9.201
Ag 0.000 2.644 9.201
Ag 2.026 -1.170 13.953
Ag 0.000 2.340 13.953
Ag 2.290 1.322 10.732
```

total energy	-46.03	eV for the cell shown
ΔE_f	0.205	eV/atom
calculated volume	447.94	Å³/f.u.
space group	No. 166

A plane-wave DFT calculation with GGA-PBE was carried out for crystalline SrAl2CdAg at its relaxed geometry.

extended XYZ file:
```
10
Lattice="4.473 0.000 0.000 0.000 4.493 0.000 0.000 0.000 11.759" Properties=species:S:1:pos:R:3 pbc="T T T"
Sr 0.000 0.000 0.000
Sr 2.237 2.247 5.880
Al 0.000 0.000 7.272
Al 0.000 2.247 2.855
Al 2.237 0.000 8.734
Al 2.237 2.247 1.393
Cd 0.000 0.000 4.541
Cd 2.237 2.247 10.421
Ag 0.000 2.247 8.642
Ag 2.237 0.000 2.763
```

total energy	-28.00	eV for the cell shown
ΔE_f	-0.214	eV/atom
calculated volume	118.17	Å³/f.u.
space group	No. 44